Here is an optimized crystal structure of Ac2NdHfO6 from Alexandria via LeMat-Bulk. Energies are from GGA-PBE.

abc: 6.057 6.171 10.457
angles: 90.00 124.35 90.00
Atoms (fractional coordinates):
Ac  0.239  0.056  0.244
Ac  0.239  0.444  0.744
Ac  0.761  0.556  0.256
Ac  0.761  0.944  0.756
Nd  0.500  0.000  0.000
Nd  0.500  0.500  0.500
Hf  0.000  0.000  0.500
Hf  0.000  0.500  0.000
O  0.112  0.209  0.945
O  0.112  0.291  0.445
O  0.234  0.681  0.943
O  0.234  0.819  0.443
O  0.337  0.045  0.730
O  0.337  0.455  0.230
O  0.663  0.545  0.770
O  0.663  0.955  0.270
O  0.766  0.181  0.557
O  0.766  0.319  0.057
O  0.888  0.709  0.555
O  0.888  0.791  0.055

Summary:
Electronic total energy: -8.492 eV per atom
Formation energy without anion corrections: -3.224 eV per atom
DOS(E_F): 7.178 states/eV per cell
Magnetic moment: 0.0 μB per formula unit